InCoNO2: relaxed, PBE+U.

The structure in POSCAR format:
```
InCoNO2
1.0
4.0528 0.0000 0.0000
0.0000 4.0528 0.0000
0.0000 0.0000 3.4451
In Co N O
1 1 1 2
Direct
0.0000 0.0000 0.0000
0.5000 0.5000 0.5000
0.5000 0.5000 0.0000
0.0000 0.5000 0.5000
0.5000 0.0000 0.5000
```

calculated total energy	-5.19	eV per atom
V	57	Å³ per cell
density of states at the Fermi level	1.81	states/eV per cell